! SrSi2Sb, optimized geometry, DFT PBE; values from VASP
&SYSTEM
  ibrav = 0, nat = 4, ntyp = 3
/
ATOMIC_SPECIES
Sb 121.76 Sb.upf
Si 28.09 Si.upf
Sr 87.62 Sr.upf
ATOMIC_POSITIONS crystal
Sb 0.500 0.000 0.500
Si 0.000 0.000 0.000
Si 0.000 0.500 0.500
Sr 0.500 0.500 0.000
CELL_PARAMETERS angstrom
-0.770 -4.287 -0.351
4.165 -0.894 1.782
-1.820 -0.021 4.243
! **VASP energy**: -16.450 eV/cell
! **V**: 93.16 Å³/f.u.
! **Space group**: No. 123
! **DOS at the Fermi energy**: 1.68 states/eV/cell
! **Raw formation energy**: 0.050 eV/atom